4
Lattice="0.0000 3.0196 3.0196 3.0196 0.0000 3.0196 3.0196 3.0196 0.0000" Properties=species:S:1:pos:R:3 comment="CrFe2Br | Alexandria | GGA-PBE | relaxed" n_ef_per_ev_atom=0.85 formation_energy_uncorrected_mev_per_atom=861 sg="F-43m (216)" pbc="T T T"
Cr 0.0000 0.0000 0.0000
Fe 1.5098 1.5098 1.5098
Fe 3.0196 3.0196 3.0196
Br 4.5294 4.5294 4.5294